The following is a DFT calculation (GGA-PBE) of an optimized crystal structure of Ca5As.

Lattice parameters (Å, degrees): 6.8153 6.8153 6.8153 60.00 60.00 60.00
Last column: nearest neighbours and their distance in Å.
Sites, in units of the cell vectors:
Ca  0.0000  0.0000  0.0000  12 Ca 4.00, 4 As 4.17
Ca  0.1272  0.6243  0.6243  6 Ca 3.39-3.43
Ca  0.6243  0.1272  0.6243  6 Ca 3.39-3.43
Ca  0.6243  0.6243  0.1272  6 Ca 3.39-3.43
Ca  0.6243  0.6243  0.6243  6 Ca 3.39-3.43
As  0.2500  0.2500  0.2500  16 Ca 3.99-4.17

## Properties
Its formation energy from the elements is 0.21 eV/atom.